The following is a GGA-PBE calculation of KZnOs2 after structural relaxation, from Alexandria.

Cell lengths 2.7512, 3.8250, 7.8640 Å; angles 90.00, 90.19, 90.00 degrees
Element x y z (fractional)
K 0.0000 0.0000 0.0000
Zn 0.5019 0.5000 0.6708
Os 0.0013 0.0000 0.4680
Os 0.5001 0.5000 0.3383

Calculated values
* DOS at the Fermi energy: 2.51 states/eV/f.u.
* SG: Pm, No. 6
* E_form: 0.5213 eV/atom
* total magnetization: 0.000 μB per atom
* volume: 83 Å³ per cell

---

The following is a GGA-PBE calculation of KZnOs after structural relaxation, from Alexandria.

Cell lengths 6.4952, 6.4952, 6.4952 Å; angles 150.08, 150.08, 42.82 degrees
Element x y z (fractional)
K 0.0000 0.0000 0.0000
Zn 0.2763 0.2763 0.0000
Os 0.7154 0.7154 0.0000

Calculated values
* DOS at the Fermi energy: 2.81 states/eV/f.u.
* SG: I4mm, No. 107
* E_form: 0.8325 eV/atom
* energy above the lowest structure with this stoichiometry: 0.1611 eV/atom
* total magnetization: 0.000 μB per atom
* volume: 68 Å³ per cell

---

The following is a GGA-PBE calculation of KZnOs after structural relaxation, from Alexandria.

Cell lengths 6.4386, 6.4386, 6.4386 Å; angles 156.16, 141.22, 46.03 degrees
Element x y z (fractional)
K 0.0000 0.0000 0.0000
Zn 0.2709 0.2709 0.0000
Os 0.7203 0.7203 0.0000

Calculated values
* DOS at the Fermi energy: 3.10 states/eV/f.u.
* SG: Imm2, No. 44
* E_form: 0.6714 eV/atom
* energy above the lowest structure with this stoichiometry: 0.0000 eV/atom
* total magnetization: 0.000 μB per atom
* volume: 67 Å³ per cell

---

The following is a GGA-PBE calculation of KZnOs after structural relaxation, from Alexandria.

Cell lengths 7.9141, 7.9141, 7.9141 Å; angles 160.02, 160.02, 28.41 degrees
Element x y z (fractional)
K 0.0000 0.0000 0.0000
Zn 0.6933 0.6933 0.0000
Os 0.3197 0.3197 0.0000

Calculated values
* DOS at the Fermi energy: 3.96 states/eV/f.u.
* SG: I4mm, No. 107
* E_form: 0.8750 eV/atom
* energy above the lowest structure with this stoichiometry: 0.2036 eV/atom
* total magnetization: 0.005 μB per atom
* volume: 58 Å³ per cell